First-principles (GGA-PBE) data for a relaxed structure of MnCo2, as listed in Alexandria via LeMat-Bulk.

The structure belongs to space group I4/mcm (No. 140); the cell edges are 5.6174, 5.6174 and 4.2992 Å and the angles 90.00°, 90.00° and 90.00°. The inequivalent atoms are Mn at (0.0000, 0.0000, 0.2500) and Co at (0.1434, 0.3566, 0.0000).

The crystal system is tetragonal. For the total energy, the calculation gives -89.768 eV/cell. The total moment is 10.557 μB/cell. The value obtained for the formation energy from the elements is 0.31 eV per atom. The density of states at the Fermi level is 3.0 states/eV/f.u.

First-principles (GGA-PBE) data for a relaxed structure of Mn8Co, as listed in Alexandria via LeMat-Bulk.

The structure belongs to space group I4/mmm (No. 139); the cell edges are 7.6206, 7.6206 and 3.5380 Å and the angles 90.00°, 90.00° and 90.00°. The inequivalent atoms are Mn at (0.0000, 0.3227, 0.0000), Mn at (0.1644, 0.1644, 0.5000) and Co at (0.0000, 0.0000, 0.0000).

The crystal system is tetragonal. For the total energy, the calculation gives -159.807 eV/cell. The total moment is 3.690 μB/cell. The value obtained for the formation energy from the elements is 0.06 eV per atom. The density of states at the Fermi level is 10.2 states/eV/f.u.

First-principles (GGA-PBE) data for a relaxed structure of Mn5Co3, as listed in Alexandria via LeMat-Bulk.

The structure belongs to space group Cmmm (No. 65); the cell edges are 6.9892, 7.0403 and 3.5194 Å and the angles 90.00°, 90.00° and 90.00°. The inequivalent atoms are Mn at (0.0000, 0.0000, 0.0000), Mn at (0.0000, 0.2536, 0.5000), Mn at (0.2500, 0.2500, 0.0000), Co at (0.0000, 0.5000, 0.0000) and Co at (0.2469, 0.5000, 0.5000).

The crystal system is orthorhombic. The value obtained for the relative energy among the computed polymorphs is 0 meV/atom. For the total energy, the calculation gives -133.885 eV/cell. The total moment is 5.132 μB/cell. The value obtained for the formation energy from the elements is 0.03 eV per atom. The density of states at the Fermi level is 8.8 states/eV/f.u.

First-principles (GGA-PBE) data for a relaxed structure of Mn7Co6, as listed in Alexandria via LeMat-Bulk.

The structure belongs to space group R-3m (No. 166, hexagonal axes); the cell edges are 4.5132, 4.5132 and 24.3182 Å and the angles 90.00°, 90.00° and 120.00°. The inequivalent atoms are Mn at (0.0000, 0.0000, 0.0000), Mn at (0.0072, 0.5036, 0.4117), Co at (0.0000, 0.0000, 0.1636), Co at (0.0000, 0.0000, 0.3502) and Co at (0.0000, 0.0000, 0.4541).

The crystal system is trigonal. For the total energy, the calculation gives -313.330 eV/cell. The total moment is 18.621 μB/cell. The value obtained for the formation energy from the elements is 0.18 eV per atom. The density of states at the Fermi level is 18.2 states/eV/f.u.

First-principles (GGA-PBE) data for a relaxed structure of MnCo2, as listed in Alexandria via LeMat-Bulk.

The structure belongs to space group Pa-3 (No. 205); the cell edges are 5.3568, 5.3568 and 5.3568 Å and the angles 90.00°, 90.00° and 90.00°. The inequivalent atoms are Mn at (0.0000, 0.0000, 0.0000) and Co at (0.1186, 0.6186, 0.8814).

The crystal system is cubic. For the total energy, the calculation gives -82.401 eV/cell. The total moment is 3.410 μB/cell. The value obtained for the formation energy from the elements is 0.93 eV per atom. The density of states at the Fermi level is 4.2 states/eV/f.u.

First-principles (GGA-PBE) data for a relaxed structure of Mn5Co4, as listed in Alexandria via LeMat-Bulk.

The structure belongs to space group P6_3/mcm (No. 193); the cell edges are 6.8905, 6.8905 and 4.9350 Å and the angles 90.00°, 90.00° and 120.00°. The inequivalent atoms are Mn at (0.0000, 0.3263, 0.2500), Mn at (0.3333, 0.6667, 0.0000), Co at (0.0000, 0.0000, 0.0000) and Co at (0.0000, 0.3370, 0.7500).

The crystal system is hexagonal. The value obtained for the relative energy among the computed polymorphs is 51 meV/atom. For the total energy, the calculation gives -146.910 eV/cell. The total moment is 9.394 μB/cell. The value obtained for the formation energy from the elements is 0.09 eV per atom. The density of states at the Fermi level is 7.5 states/eV/f.u.

First-principles (GGA-PBE) data for a relaxed structure of MnCo5, as listed in Alexandria via LeMat-Bulk.

The structure belongs to space group Amm2 (No. 38); the cell edges are 3.9888, 2.4901 and 12.9884 Å and the angles 90.00°, 90.00° and 90.00°. The inequivalent atoms are Mn at (0.0000, 0.0000, 0.0000), Co at (0.0000, 0.0000, 0.3330), Co at (0.0000, 0.0000, 0.6667), Co at (0.5000, 0.0000, 0.2232), Co at (0.5000, 0.0000, 0.5572) and Co at (0.5000, 0.0000, 0.8900).

The crystal system is orthorhombic. For the total energy, the calculation gives -88.802 eV/cell. The total moment is 9.448 μB/cell. The value obtained for the formation energy from the elements is 0.05 eV per atom. The density of states at the Fermi level is 6.9 states/eV/f.u.

First-principles (GGA-PBE) data for a relaxed structure of Mn2Co3, as listed in Alexandria via LeMat-Bulk.

The structure belongs to space group P-3m1 (No. 164); the cell edges are 3.8392, 3.8392 and 4.7976 Å and the angles 90.00°, 90.00° and 120.00°. The inequivalent atoms are Mn at (0.3333, 0.6667, 0.3236), Co at (0.0000, 0.0000, 0.5000) and Co at (0.3333, 0.6667, 0.8408).

The crystal system is trigonal. The value obtained for the relative energy among the computed polymorphs is 333 meV/atom. For the total energy, the calculation gives -37.477 eV/cell. The total moment is 5.897 μB/cell. The value obtained for the formation energy from the elements is 0.44 eV per atom. The density of states at the Fermi level is 7.2 states/eV/f.u.